(1)
VASP calculation (PBE-GGA) on a relaxed structure of MgSi4P.

## Properties
Raw total energy   -26.1 eV/f.u.
Formation energy without anion corrections   0.43 eV/atom
Magnetic moment   0.000 μB per atom
Calculated volume   15.7 A^3/atom

a b c (Å): 5.1086 5.1086 5.1086
angles (deg): 60.00 60.00 60.00
Last column: nearest neighbours and their distance in Å.
Element x y z (fractional)
Mg: 0.7500 0.7500 0.7500  12 Si 3.00, 4 P 3.13
Si: 0.8755 0.3748 0.3748  6 Si 2.55-2.56
Si: 0.3748 0.3748 0.8755  6 Si 2.55-2.56
Si: 0.3748 0.8755 0.3748  6 Si 2.55-2.56
Si: 0.3748 0.3748 0.3748  6 Si 2.55-2.56
P: 0.0000 0.0000 0.0000  12 Si 2.99, 4 Mg 3.13

***

(2)
VASP calculation (PBE-GGA) on a relaxed structure of NaSrNb3.

## Properties
Raw total energy   -23.2 eV/f.u.
Magnetic moment   0.000 μB per atom
Offset from the most stable computed form   0.00 eV per formula unit
Calculated volume   24.8 A^3/atom

a b c (Å): 4.9857 4.9857 4.9857
angles (deg): 90.00 90.00 90.00
Last column: nearest neighbours and their distance in Å.
Element x y z (fractional)
Na: 0.0000 0.0000 0.0000  6 Nb 2.49
Nb: 0.0000 0.5000 0.0000  2 Na 2.49
Nb: 0.0000 0.0000 0.5000  2 Na 2.49
Nb: 0.5000 0.0000 0.0000  2 Na 2.49
Sr: 0.5000 0.5000 0.5000  12 Nb 3.53

***

(3)
VASP calculation (PBE-GGA) on a relaxed structure of LiHfGaBr6.

## Properties
Raw total energy   -36.1 eV/f.u.
Formation energy without anion corrections   -1.24 eV/atom
Magnetic moment   0.000 μB per atom
Calculated volume   31.8 A^3/atom

a b c (Å): 6.9769 6.9769 13.5609
angles (deg): 90.00 90.00 120.00
Last column: nearest neighbours and their distance in Å.
Element x y z (fractional)
Ga: 0.0000 0.0000 0.5000  6 Br 3.16
Ga: 0.0000 0.0000 0.0000  6 Br 3.16
Br: 0.3716 0.0144 0.1381  1 Hf 2.63, 1 Li 2.76
Br: 0.0144 0.6427 0.8619  1 Hf 2.63, 1 Li 2.76
Br: 0.6284 0.6427 0.6381  1 Hf 2.63, 1 Li 2.76
Br: 0.9856 0.6284 0.3619  1 Hf 2.63, 1 Li 2.76
Br: 0.6427 0.0144 0.3619  1 Hf 2.63, 1 Li 2.76
Br: 0.3573 0.3716 0.8619  1 Hf 2.63, 1 Li 2.76
Br: 0.9856 0.3573 0.1381  1 Hf 2.63, 1 Li 2.76
Br: 0.3716 0.3573 0.3619  1 Hf 2.63, 1 Li 2.76
Br: 0.3573 0.9856 0.6381  1 Hf 2.63, 1 Li 2.76
Br: 0.6284 0.9856 0.8619  1 Hf 2.63, 1 Li 2.76
Br: 0.6427 0.6284 0.1381  1 Hf 2.63, 1 Li 2.76
Br: 0.0144 0.3716 0.6381  1 Hf 2.63, 1 Li 2.76
Li: 0.6667 0.3333 0.7500  6 Br 2.76
Li: 0.3333 0.6667 0.2500  6 Br 2.76
Hf: 0.6667 0.3333 0.2500  6 Br 2.63
Hf: 0.3333 0.6667 0.7500  6 Br 2.63

***

(4)
VASP calculation (PBE-GGA) on a relaxed structure of UMnVRh.

## Properties
Raw total energy   -36.7 eV/f.u.
Magnetic moment   0.198 μB per atom
Calculated volume   15.3 A^3/atom

a b c (Å): 4.4220 4.4220 4.4220
angles (deg): 60.00 60.00 60.00
Last column: nearest neighbours and their distance in Å.
Element x y z (fractional)
V: 0.0000 0.0000 0.0000  4 U 2.71, 4 Rh 2.71
Mn: 0.5000 0.5000 0.5000  4 U 2.71, 4 Rh 2.71
U: 0.2500 0.2500 0.2500  4 Mn 2.71, 4 V 2.71
Rh: 0.7500 0.7500 0.7500  4 Mn 2.71, 4 V 2.71

***

(5)
VASP calculation (PBE-GGA) on a relaxed structure of AlHgBr2.

## Properties
Raw total energy   -7.6 eV/f.u.
Formation energy without anion corrections   -0.06 eV/atom
Magnetic moment   0.000 μB per atom
Offset from the most stable computed form   1.84 eV per formula unit
Calculated volume   26.9 A^3/atom

a b c (Å): 3.8064 5.3157 5.3157
angles (deg): 90.00 90.00 90.00
Last column: nearest neighbours and their distance in Å.
Element x y z (fractional)
Br: 0.0000 0.0000 0.0000  4 Al 3.27, 4 Hg 3.27
Br: 0.0000 0.5000 0.5000  4 Hg 3.27, 4 Al 3.27
Al: 0.5000 0.0000 0.5000  8 Br 3.27
Hg: 0.5000 0.5000 0.0000  8 Br 3.27

***

(6)
VASP calculation (PBE-GGA) on a relaxed structure of ScAl3Fe.

## Properties
Raw total energy   -27.0 eV/f.u.
Magnetic moment   0.100 μB per atom
Offset from the most stable computed form   0.68 eV per formula unit
Calculated volume   17.7 A^3/atom

a b c (Å): 5.6330 7.0341 6.3519
angles (deg): 123.62 116.32 90.00
Last column: nearest neighbours and their distance in Å.
Element x y z (fractional)
Al: 0.7500 0.2123 0.5000  2 Fe 2.25
Al: 0.7060 0.2060 0.9120  2 Fe 2.29
Al: 0.2500 0.7877 0.5000  2 Fe 2.25
Al: 0.2940 0.7940 0.0880  2 Fe 2.29
Al: 0.2060 0.2060 0.9120  2 Fe 2.29
Al: 0.7940 0.7940 0.0880  2 Fe 2.29
Fe: 0.5000 0.0000 0.0000  6 Al 2.25-2.29
Fe: 0.0000 0.5000 0.0000  6 Al 2.25-2.29
Sc: 0.7500 0.6436 0.5000  7 Al 2.99-3.15
Sc: 0.2500 0.3564 0.5000  7 Al 2.99-3.15

***

(7)
VASP calculation (PBE-GGA) on a relaxed structure of LiZr2Al.

## Properties
Raw total energy   -22.6 eV/f.u.
Magnetic moment   0.000 μB per atom
Calculated volume   20.7 A^3/atom

a b c (Å): 10.7723 10.7723 10.7723
angles (deg): 15.99 15.99 15.99
Last column: nearest neighbours and their distance in Å.
Element x y z (fractional)
Zr: 0.5050 0.5050 0.5050  6 Zr 3.00, 3 Al 3.04, 3 Li 3.31
Zr: 0.9950 0.9950 0.9950  6 Zr 3.00, 3 Al 3.04, 3 Li 3.31
Li: 0.7500 0.7500 0.7500  6 Li 3.00, 6 Zr 3.31
Al: 0.2500 0.2500 0.2500  6 Al 3.00, 6 Zr 3.04

***

(8)
VASP calculation (PBE-GGA) on a relaxed structure of AlSiNO2.

## Properties
Raw total energy   -29.9 eV/f.u.
Formation energy without anion corrections   -0.50 eV/atom
Magnetic moment   0.000 μB per atom
Calculated volume   10.3 A^3/atom

a b c (Å): 3.4860 3.4860 4.2506
angles (deg): 90.00 90.00 90.00
Last column: nearest neighbours and their distance in Å.
Element x y z (fractional)
O: 0.5000 0.0000 0.0000  2 Al 1.74
O: 0.0000 0.5000 0.0000  2 Al 1.74
Al: 0.0000 0.0000 0.0000  4 O 1.74
Si: 0.5000 0.5000 0.5000  4 N 2.47, 8 O 2.75
N: 0.0000 0.0000 0.5000  2 Al 2.13